# SrP2S2, relaxed, DFT PBE
# N(E_F) (states/eV/f.u.): 1.65
# Formation energy from raw total energies (meV/atom): -1
# M_tot (μB/atom): 0.000
data_SrP2S2
_space_group_name_H-M_alt 'P 4/m m m'
_space_group_IT_number 123
_space_group_name_Hall '-P 4 2'
_cell_length_a 4.6784
_cell_length_b 4.6784
_cell_length_c 4.8420
_cell_angle_alpha 90.00
_cell_angle_beta 90.00
_cell_angle_gamma 90.00
loop_
_atom_site_label
_atom_site_type_symbol
_atom_site_fract_x
_atom_site_fract_y
_atom_site_fract_z
_atom_site_occupancy
Sr1 Sr 0.0000 0.0000 0.0000 1
P1 P 0.0000 0.5000 0.5000 1
S1 S 0.5000 0.5000 0.0000 1
S2 S 0.5000 0.5000 0.5000 1